Record 1
Compound: PmRhAu
Source: the Alexandria database
Functional: PBE-GGA
Structure: optimized geometry

Properties
volume = 23.8 Å³/atom
calculated total energy = -5.48 eV/atom
ΔE_f = -354 meV/atom
density = 10.4 g/cm3
crystal system = trigonal
distance to the lowest polymorph of the same formula = 235.1 meV/atom

a b c (Å): 4.6414 4.6414 22.9371
angles (deg): 90.00 90.00 120.00
Space group R-3m (No. 166, hexagonal axes)
Unique sites:
Pm  0.0000  0.0000  0.0836 (multiplicity 6)
Rh  0.0000  0.0000  0.1990 (multiplicity 6)
Au  0.0000  0.0000  0.3237 (multiplicity 6)


Record 2
Compound: Dy2CdS4
Source: the Alexandria database
Functional: PBE-GGA
Structure: optimized geometry

Properties
volume = 25.7 Å³/atom
raw formation energy = -1.670 eV/atom
calculated total energy = -5.47 eV/atom
density = 5.2 g/cm3
crystal system = cubic
distance to the lowest polymorph of the same formula = 0.0 meV/atom

a b c (Å): 11.297 11.297 11.297
angles (deg): 90.00 90.00 90.00
Space group Fd-3m (No. 227, origin choice 2)
Unique sites:
Dy  0.000  0.000  0.000 (multiplicity 16)
Cd  0.125  0.125  0.625 (multiplicity 8)
S  0.007  0.007  0.243 (multiplicity 32)


Record 3
Compound: FeAgAu3
Source: the Alexandria database
Functional: PBE-GGA
Structure: optimized geometry

Properties
volume = 22.6 Å³/atom
calculated total energy = -3.52 eV/atom
ΔE_f = 712 meV/atom
density = 11.1 g/cm3
crystal system = cubic
distance to the lowest polymorph of the same formula = 0.0 meV/atom

a b c (Å): 4.834 4.834 4.834
angles (deg): 90.00 90.00 90.00
Space group Pm-3m (No. 221)
Unique sites:
Fe  0.000  0.000  0.000 (multiplicity 1)
Ag  0.500  0.500  0.500 (multiplicity 1)
Au  0.000  0.000  0.500 (multiplicity 3)


Record 4
Compound: SrMgCu3
Source: the Alexandria database
Functional: PBE-GGA
Structure: optimized geometry

Properties
volume = 29.5 Å³/atom
calculated total energy = -1.94 eV/atom
ΔE_f = 1177 meV/atom
density = 3.4 g/cm3
crystal system = cubic
distance to the lowest polymorph of the same formula = 830.3 meV/atom

a b c (Å): 5.286 5.286 5.286
angles (deg): 90.00 90.00 90.00
Space group Pm-3m (No. 221)
Unique sites:
Sr  0.000  0.000  0.000 (multiplicity 1)
Mg  0.500  0.500  0.500 (multiplicity 1)
Cu  0.000  0.000  0.500 (multiplicity 3)


Record 5
Compound: LiDyNi2
Source: the Alexandria database
Functional: PBE-GGA
Structure: optimized geometry

Properties
volume = 16.0 Å³/atom
calculated total energy = -4.65 eV/atom
ΔE_f = -131 meV/atom
density = 7.5 g/cm3
crystal system = cubic
distance to the lowest polymorph of the same formula = 40.7 meV/atom

a b c (Å): 6.344 6.344 6.344
angles (deg): 90.00 90.00 90.00
Space group Fm-3m (No. 225)
Unique sites:
Li  0.000  0.000  0.000 (multiplicity 4)
Dy  0.000  0.000  0.500 (multiplicity 4)
Ni  0.250  0.250  0.250 (multiplicity 8)


Record 6
Compound: HfSnO2
Source: the Alexandria database
Functional: PBE-GGA
Structure: optimized geometry

Properties
volume = 21.6 Å³/atom
raw formation energy = -2.066 eV/atom
calculated total energy = -8.03 eV/atom
density = 6.3 g/cm3
crystal system = tetragonal

a b c (Å): 6.043 6.043 9.448
angles (deg): 90.00 90.00 90.00
Space group I-42d (No. 122)
Unique sites:
Hf  0.000  0.000  0.000 (multiplicity 4)
Sn  0.000  0.000  0.500 (multiplicity 4)
O  0.057  0.250  0.125 (multiplicity 8)


Record 7
Compound: ZrPaPdAu
Source: the Alexandria database
Functional: PBE-GGA
Structure: optimized geometry

Properties
volume = 21.2 Å³/atom
calculated total energy = -6.96 eV/atom
ΔE_f = -331 meV/atom
density = 12.3 g/cm3
crystal system = cubic

a b c (Å): 6.974 6.974 6.974
angles (deg): 90.00 90.00 90.00
Space group F-43m (No. 216)
Unique sites:
Zr  0.000  0.000  0.000 (multiplicity 4)
Pa  0.000  0.000  0.500 (multiplicity 4)
Pd  0.250  0.250  0.750 (multiplicity 4)
Au  0.250  0.250  0.250 (multiplicity 4)


Record 8
Compound: B2C
Source: the Alexandria database
Functional: PBE-GGA
Structure: optimized geometry

Properties
volume = 7.3 Å³/atom
calculated total energy = -7.09 eV/atom
ΔE_f = 440 meV/atom
density = 2.5 g/cm3
crystal system = monoclinic
distance to the lowest polymorph of the same formula = 254.9 meV/atom

a b c (Å): 3.821 4.136 5.824
angles (deg): 90.00 106.73 90.00
Space group P2 (No. 3)
Unique sites:
B  0.000  0.000  0.000 (multiplicity 1)
B  0.159  0.310  0.842 (multiplicity 2)
B  0.278  0.008  0.645 (multiplicity 2)
B  0.279  0.685  0.143 (multiplicity 2)
B  0.500  0.303  0.500 (multiplicity 1)
C  0.000  0.736  0.500 (multiplicity 1)
C  0.161  0.515  0.348 (multiplicity 2)
C  0.500  0.508  0.000 (multiplicity 1)


Record 9
Compound: RbCr2FeAg
Source: the Alexandria database
Functional: PBE-GGA
Structure: optimized geometry

Properties
volume = 27.8 Å³/atom
calculated total energy = -4.93 eV/atom
ΔE_f = 1373 meV/atom
density = 4.2 g/cm3
crystal system = tetragonal

a b c (Å): 5.261 5.261 5.013
angles (deg): 90.00 90.00 90.00
Space group P4/mmm (No. 123)
Unique sites:
Rb  0.000  0.000  0.000 (multiplicity 1)
Cr  0.000  0.500  0.500 (multiplicity 2)
Fe  0.500  0.500  0.000 (multiplicity 1)
Ag  0.500  0.500  0.500 (multiplicity 1)


Record 10
Compound: Pa2AsP
Source: the Alexandria database
Functional: PBE-GGA
Structure: optimized geometry

Properties
volume = 23.2 Å³/atom
calculated total energy = -8.46 eV/atom
ΔE_f = -1198 meV/atom
density = 10.2 g/cm3
crystal system = trigonal
distance to the lowest polymorph of the same formula = 0.0 meV/atom

a b c (Å): 4.0265 4.0265 19.8068
angles (deg): 90.00 90.00 120.00
Space group R-3m (No. 166, hexagonal axes)
Unique sites:
Pa  0.0000  0.0000  0.2455 (multiplicity 6)
As  0.0000  0.0000  0.0000 (multiplicity 3)
P  0.0000  0.0000  0.5000 (multiplicity 3)


Record 11
Compound: RbIr3C
Source: the Alexandria database
Functional: PBE-GGA
Structure: optimized geometry

Properties
volume = 15.8 Å³/atom
calculated total energy = -6.30 eV/atom
ΔE_f = 1056 meV/atom
density = 14.2 g/cm3
crystal system = cubic
distance to the lowest polymorph of the same formula = 0.0 meV/atom

a b c (Å): 4.287 4.287 4.287
angles (deg): 90.00 90.00 90.00
Space group Pm-3m (No. 221)
Unique sites:
Rb  0.000  0.000  0.000 (multiplicity 1)
Ir  0.000  0.500  0.500 (multiplicity 3)
C  0.500  0.500  0.500 (multiplicity 1)